An optimized crystal structure of Na2As3Pd5. Source: the Alexandria database, functional PBE.

The structure in POSCAR format:
```
Na2As3Pd5
1.0
5.376 -6.300 0.000
5.376 6.300 0.000
-1.659 0.000 5.366
Na As Pd
4 6 10
Direct
0.104 0.673 0.946
0.327 0.896 0.554
0.673 0.104 0.446
0.896 0.327 0.054
0.034 0.275 0.586
0.275 0.034 0.086
0.404 0.596 0.250
0.596 0.404 0.750
0.725 0.966 0.914
0.966 0.725 0.414
0.005 0.995 0.750
0.164 0.531 0.439
0.254 0.321 0.986
0.321 0.254 0.486
0.469 0.836 0.061
0.531 0.164 0.939
0.679 0.746 0.514
0.746 0.679 0.014
0.836 0.469 0.561
0.995 0.005 0.250
```

Values from the calculation:
magnetization = 0.0 μB per cell
space-group type = C2/c (15)
ΔH_f (0 K) = -0.40 eV/atom
Fermi-level density of states = 3.25 states/eV/f.u.